1.
Material: BaAsIr2
Method: DFT, PBE-GGA
State: optimized geometry

As for the final energy: -21.63 eV/f.u.

The space group is I-4m2 (No. 119) and the conventional cell measures 4.2867, 4.2867 and 8.9708 Å, with angles of 90.00, 90.00 and 90.00 degrees. Symmetry generates all atoms from Ba at (0.0000, 0.0000, 0.0000), As at (0.0000, 0.5000, 0.2500), Ir at (0.0000, 0.0000, 0.5000) and Ir at (0.0000, 0.5000, 0.7500).


2.
Material: TaCu2As
Method: DFT, PBE-GGA
State: optimized geometry

As for the final energy: -24.59 eV/f.u.

The space group is P4/mmm (No. 123) and the conventional cell measures 3.7637, 3.7637 and 4.1087 Å, with angles of 90.00, 90.00 and 90.00 degrees. Symmetry generates all atoms from Ta at (0.0000, 0.0000, 0.0000), Cu at (0.0000, 0.5000, 0.5000) and As at (0.5000, 0.5000, 0.0000).